# Ba2Nd2Fe3CoO12 PBE+U optimized geometry
# ρ (Mg/m³): 6.7
# Magnetization (μB/cell): 14.939
# E (eV/atom): -6.766
data_Ba2Nd2Fe3CoO12
_chemical_formula_sum 'Ba2 Nd2 Fe3 Co1 O12'
_cell_length_a 5.554
_cell_length_b 5.554
_cell_length_c 7.934
_cell_angle_alpha 90.00
_cell_angle_beta 90.00
_cell_angle_gamma 90.00
_space_group_name_H-M_alt 'P -4 m 2'
_space_group_IT_number 115
loop_
_space_group_symop_operation_xyz
'x,y,z'
'y,-x,-z'
'-x,-y,z'
'-y,x,-z'
'-x,y,z'
'-y,-x,-z'
'x,-y,z'
'y,x,-z'
loop_
_atom_site_label
_atom_site_fract_x
_atom_site_fract_y
_atom_site_fract_z
_atom_site_occupancy
Ba1 0.000 0.500 0.250 1
Nd1 0.000 0.500 0.743 1
Fe1 0.000 0.000 0.000 1
Fe2 0.000 0.000 0.500 1
Fe3 0.500 0.500 0.000 1
Co1 0.500 0.500 0.500 1
O1 0.000 0.000 0.253 1
O2 0.249 0.249 0.000 1
O3 0.255 0.255 0.500 1
O4 0.500 0.500 0.252 1